VASP calculation (PBE with a Hubbard U) on Mo2P3O12 after structural relaxation.

Lattice parameters (Å, degrees): 8.692 8.790 9.038 60.93 60.77 59.95
Fractional positions:
P: 0.748 0.471 0.251
P: 0.037 0.750 0.249
P: 0.469 0.039 0.247
P: 0.531 0.961 0.753
P: 0.963 0.250 0.751
P: 0.252 0.529 0.749
Mo: 0.851 0.860 0.930
Mo: 0.646 0.642 0.573
Mo: 0.354 0.358 0.427
Mo: 0.149 0.140 0.070
O: 0.037 0.927 0.240
O: 0.221 0.585 0.263
O: 0.279 0.513 0.575
O: 0.641 0.028 0.077
O: 0.300 0.038 0.231
O: 0.512 0.876 0.413
O: 0.779 0.415 0.737
O: 0.359 0.972 0.923
O: 0.931 0.312 0.209
O: 0.721 0.487 0.425
O: 0.999 0.232 0.909
O: 0.732 0.652 0.097
O: 0.876 0.696 0.426
O: 0.414 0.225 0.270
O: 0.124 0.304 0.574
O: 0.001 0.768 0.091
O: 0.700 0.962 0.769
O: 0.963 0.073 0.760
O: 0.268 0.348 0.903
O: 0.069 0.688 0.791
O: 0.586 0.775 0.730
O: 0.488 0.124 0.587
O: 0.418 0.587 0.707
O: 0.582 0.413 0.293

Values from the calculation:
Energy relative to the lowest polymorph listed for this composition, meV/atom: 0.0
Spin magnetization, μB/cell: 6.00
Space-group type: P-1, No. 2